[1]
This record from Alexandria via LeMat-Bulk describes a relaxed TbDyTm crystal. The functional is PBE.

a = 3.4338 Å, b = 5.5761 Å, c = 5.5761 Å
α = 120.00°, β = 90.00°, γ = 90.00°
Sites, in units of the cell vectors:
Tm 0.1671 0.3333 0.6667
Tb 0.6667 0.6667 0.3333
Dy 0.1662 0.0000 0.0000

Calculated values
Its crystal system is hexagonal. Its formation energy from the elements is 21 kJ/mol of formula units. The relative energy among the computed polymorphs comes out at 52 meV per atom.

[2]
This record from Alexandria via LeMat-Bulk describes a relaxed Tb4Dy5Tm crystal. The functional is PBE.

a = 5.8636 Å, b = 8.0072 Å, c = 8.0072 Å
α = 82.30°, β = 68.52°, γ = 68.52°
Sites, in units of the cell vectors:
Tb 0.4491 0.3233 0.6765
Tb 0.7724 0.6765 0.6767
Tb 0.1256 0.3235 0.3233
Tb 0.4490 0.6767 0.3235
Dy 0.7638 0.3776 0.0001
Dy 0.1414 0.0001 0.6224
Dy 0.7639 0.9999 0.3776
Dy 0.1415 0.6224 0.9999
Dy 0.6882 0.0000 0.0000
Tm 0.2153 0.0000 0.0000

Calculated values
Its crystal system is tetragonal. Its formation energy from the elements is 251 kJ/mol of formula units. The relative energy among the computed polymorphs comes out at 244 meV per atom.

[3]
This record from Alexandria via LeMat-Bulk describes a relaxed Tb4Dy3Tm5 crystal. The functional is PBE.

a = 7.0408 Å, b = 11.1228 Å, c = 12.6806 Å
α = 151.29°, β = 56.32°, γ = 129.29°
Sites, in units of the cell vectors:
Tb 0.9170 0.8345 0.6671
Tb 0.8319 0.6643 0.8323
Tb 0.1681 0.3357 0.1677
Tb 0.0830 0.1655 0.3329
Dy 0.5821 0.1653 0.3327
Dy 0.0000 0.0000 0.5000
Dy 0.4179 0.8347 0.6673
Tm 0.3317 0.6657 0.8339
Tm 0.5000 0.0000 0.5000
Tm 0.7507 0.5000 0.9999
Tm 0.2493 0.5000 0.0001
Tm 0.6683 0.3343 0.1661

Calculated values
Its crystal system is triclinic. Its formation energy from the elements is 23 kJ/mol of formula units. The relative energy among the computed polymorphs comes out at 0 meV per atom.

[4]
This record from Alexandria via LeMat-Bulk describes a relaxed Tb3Dy2Tm3 crystal. The functional is PBE.

a = 6.3840 Å, b = 6.3840 Å, c = 6.3840 Å
α = 84.42°, β = 84.42°, γ = 95.58°
Sites, in units of the cell vectors:
Tb 0.2889 0.7111 0.0000
Tb 0.0000 0.2889 0.2889
Tb 0.7111 0.0000 0.7111
Dy 0.3061 0.3061 0.6939
Dy 0.6939 0.6939 0.3061
Tm 0.1888 0.8112 0.5000
Tm 0.5000 0.1888 0.1888
Tm 0.8112 0.5000 0.8112

Calculated values
Its crystal system is trigonal. Its formation energy from the elements is 106 kJ/mol of formula units. The relative energy among the computed polymorphs comes out at 116 meV per atom.

[5]
This record from Alexandria via LeMat-Bulk describes a relaxed Tb3Dy2Tm8 crystal. The functional is PBE.

a = 6.0768 Å, b = 6.0721 Å, c = 11.0797 Å
α = 79.47°, β = 90.06°, γ = 99.56°
Sites, in units of the cell vectors:
Tb 0.0000 0.0000 0.0000
Tb 0.5380 0.2309 0.0773
Tb 0.4620 0.7691 0.9227
Dy 0.7691 0.6159 0.5382
Dy 0.2309 0.3841 0.4618
Tm 0.0762 0.4619 0.1546
Tm 0.9238 0.5381 0.8454
Tm 0.1539 0.9231 0.3085
Tm 0.8461 0.0769 0.6915
Tm 0.3074 0.8463 0.6149
Tm 0.3851 0.3078 0.7684
Tm 0.6149 0.6922 0.2316
Tm 0.6926 0.1537 0.3851

Calculated values
Its crystal system is triclinic. Its formation energy from the elements is 30 kJ/mol of formula units. The relative energy among the computed polymorphs comes out at 0 meV per atom.

[6]
This record from Alexandria via LeMat-Bulk describes a relaxed Tb2Dy3Tm6 crystal. The functional is PBE.

a = 3.5129 Å, b = 3.5129 Å, c = 31.4657 Å
α = 86.80°, β = 86.80°, γ = 60.00°
Sites, in units of the cell vectors:
Tb 0.5454 0.5454 0.3639
Tb 0.4546 0.4546 0.6361
Dy 0.0000 0.0000 0.0000
Dy 0.7273 0.7273 0.8181
Dy 0.2727 0.2727 0.1819
Tm 0.9091 0.9091 0.2727
Tm 0.0909 0.0909 0.7273
Tm 0.8184 0.8184 0.5449
Tm 0.1816 0.1816 0.4551
Tm 0.6364 0.6364 0.0909
Tm 0.3636 0.3636 0.9091

Calculated values
Its crystal system is trigonal. Its formation energy from the elements is 25 kJ/mol of formula units. The relative energy among the computed polymorphs comes out at 0 meV per atom.

no.,D(E_F) (states/eV per cell)
1,5.076
2,13.408
3,15.342
4,12.454
5,18.556
6,15.217